Here is an optimized crystal structure of SmBe4Pd3O12 from Alexandria via LeMat-Bulk. Energies are from PBE.

Lattice parameters (Å, degrees): 6.308 6.308 6.308 105.42 105.42 105.42
Sites, in units of the cell vectors:
Sm 0.000 0.000 0.000
Be 0.072 0.500 0.928
Be 0.500 0.500 0.500
Be 0.500 0.928 0.072
Be 0.928 0.072 0.500
Pd 0.000 0.565 0.435
Pd 0.435 0.000 0.565
Pd 0.565 0.435 0.000
O 0.040 0.650 0.776
O 0.084 0.916 0.500
O 0.224 0.350 0.960
O 0.346 0.654 0.500
O 0.350 0.960 0.224
O 0.500 0.084 0.916
O 0.500 0.346 0.654
O 0.650 0.776 0.040
O 0.654 0.500 0.346
O 0.776 0.040 0.650
O 0.916 0.500 0.084
O 0.960 0.224 0.350

## Properties
- Raw formation energy: -1506 meV per atom
- Density: 5.33 g/cm³
- M_tot: 0.02 μB/cell

Here is an optimized crystal structure of Ca3Zr2PaN6 from Alexandria via LeMat-Bulk. Energies are from PBE.

Lattice parameters (Å, degrees): 7.656 7.656 6.899 104.09 104.09 25.77
Sites, in units of the cell vectors:
Ca 0.000 0.000 0.000
Ca 0.329 0.329 0.668
Ca 0.671 0.671 0.332
Zr 0.329 0.329 0.157
Zr 0.671 0.671 0.843
Pa 0.000 0.000 0.500
N 0.159 0.159 0.606
N 0.175 0.175 0.069
N 0.492 0.492 0.267
N 0.508 0.508 0.733
N 0.825 0.825 0.931
N 0.841 0.841 0.394

## Properties
- Raw formation energy: -1500 meV per atom
- Density: 6.02 g/cm³
- M_tot: 0.00 μB/cell

Here is an optimized crystal structure of AlTe2Rh from Alexandria via LeMat-Bulk. Energies are from PBE.

Lattice parameters (Å, degrees): 7.118 7.118 7.118 148.92 147.81 45.35
Sites, in units of the cell vectors:
Al 0.000 0.000 0.000
Te 0.354 0.854 0.500
Te 0.646 0.146 0.500
Rh 0.500 0.500 0.000

## Properties
- Raw formation energy: -369 meV per atom
- Density: 6.47 g/cm³
- M_tot: 0.00 μB/cell